Record 1
A geometry-optimized Bi2HPt structure. Source: Alexandria via LeMat-Bulk, functional GGA-PBEsol.

Total DFT energy (no corrections) (eV/atom): -4.50
Spin magnetization (μB/atom): 0.00
Energy above the most stable polymorph in this dataset (meV/atom): 96

a b c (Å): 5.891 5.891 5.891
angles (deg): 109.62 109.62 109.18
Fractional positions:
Bi (0.077, 0.625, 0.952)
Bi (0.375, 0.327, 0.452)
Bi (0.673, 0.125, 0.048)
Bi (0.875, 0.923, 0.548)
H (0.000, 0.000, 0.000)
H (0.750, 0.250, 0.500)
Pt (0.250, 0.750, 0.500)
Pt (0.500, 0.500, 0.000)

=====

Record 2
A geometry-optimized TiBiHPt2 structure. Source: Alexandria via LeMat-Bulk, functional GGA-PBEsol.

Total DFT energy (no corrections) (eV/atom): -6.10
Spin magnetization (μB/atom): 0.00

a b c (Å): 3.933 3.933 4.725
angles (deg): 90.00 90.00 90.00
Fractional positions:
Ti (0.000, 0.000, 0.000)
Bi (0.500, 0.500, 0.000)
H (0.500, 0.500, 0.500)
Pt (0.000, 0.500, 0.500)
Pt (0.500, 0.000, 0.500)

=====

Record 3
A geometry-optimized Rb2BiHRu structure. Source: Alexandria via LeMat-Bulk, functional GGA-PBEsol.

Total DFT energy (no corrections) (eV/atom): -3.16
Spin magnetization (μB/atom): 0.19

a b c (Å): 6.225 6.225 5.057
angles (deg): 90.00 90.00 90.00
Fractional positions:
Rb (0.000, 0.500, 0.000)
Rb (0.500, 0.000, 0.000)
Bi (0.000, 0.000, 0.500)
H (0.500, 0.500, 0.500)
Ru (0.000, 0.000, 0.000)

=====

Record 4
A geometry-optimized BiHRh3 structure. Source: Alexandria via LeMat-Bulk, functional GGA-PBEsol.

Total DFT energy (no corrections) (eV/atom): -6.51
Spin magnetization (μB/atom): 0.00

a b c (Å): 4.015 4.015 4.015
angles (deg): 90.00 90.00 90.00
Fractional positions:
Bi (0.000, 0.000, 0.000)
H (0.500, 0.500, 0.500)
Rh (0.000, 0.500, 0.500)
Rh (0.500, 0.000, 0.500)
Rh (0.500, 0.500, 0.000)

=====

Record 5
A geometry-optimized BiHRu2 structure. Source: Alexandria via LeMat-Bulk, functional GGA-PBEsol.

Total DFT energy (no corrections) (eV/atom): -6.03
Spin magnetization (μB/atom): 0.00

a b c (Å): 4.332 4.332 4.332
angles (deg): 60.00 60.00 60.00
Fractional positions:
Bi (0.000, 0.000, 0.000)
H (0.500, 0.500, 0.500)
Ru (0.250, 0.250, 0.250)
Ru (0.750, 0.750, 0.750)

=====

Record 6
A geometry-optimized BiHS3 structure. Source: Alexandria via LeMat-Bulk, functional GGA-PBEsol.

Total DFT energy (no corrections) (eV/atom): -3.02
Spin magnetization (μB/atom): 0.06

a b c (Å): 5.186 5.186 5.186
angles (deg): 90.00 90.00 90.00
Fractional positions:
Bi (0.000, 0.000, 0.000)
H (0.500, 0.500, 0.500)
S (0.000, 0.000, 0.500)
S (0.000, 0.500, 0.000)
S (0.500, 0.000, 0.000)

=====

Record 7
A geometry-optimized BiSb2TeH structure. Source: Alexandria via LeMat-Bulk, functional GGA-PBEsol.

Total DFT energy (no corrections) (eV/atom): -3.69
Spin magnetization (μB/atom): 0.00

a b c (Å): 4.478 4.478 5.810
angles (deg): 90.00 90.00 90.00
Fractional positions:
Bi (0.000, 0.000, 0.000)
Sb (0.000, 0.500, 0.500)
Sb (0.500, 0.000, 0.500)
Te (0.500, 0.500, 0.000)
H (0.500, 0.500, 0.500)

=====

Record 8
A geometry-optimized ScBiH3 structure. Source: Alexandria via LeMat-Bulk, functional GGA-PBEsol.

Total DFT energy (no corrections) (eV/atom): -3.50
Spin magnetization (μB/atom): 0.00

a b c (Å): 4.130 4.130 4.130
angles (deg): 90.00 90.00 90.00
Fractional positions:
Sc (0.000, 0.000, 0.000)
Bi (0.500, 0.500, 0.500)
H (0.000, 0.500, 0.500)
H (0.500, 0.000, 0.500)
H (0.500, 0.500, 0.000)

=====

Record 9
A geometry-optimized Sc2BiH2 structure. Source: Alexandria via LeMat-Bulk, functional GGA-PBEsol.

Total DFT energy (no corrections) (eV/atom): -5.48
Spin magnetization (μB/atom): 0.09

a b c (Å): 5.636 5.636 5.636
angles (deg): 140.72 140.72 56.77
Fractional positions:
Sc (0.163, 0.163, 0.000)
Sc (0.837, 0.837, 0.000)
Bi (0.500, 0.500, 0.000)
H (0.250, 0.750, 0.500)
H (0.750, 0.250, 0.500)

=====

Record 10
A geometry-optimized Bi3HSe structure. Source: Alexandria via LeMat-Bulk, functional GGA-PBEsol.

Total DFT energy (no corrections) (eV/atom): -3.64
Spin magnetization (μB/atom): 0.00

a b c (Å): 4.843 4.843 4.843
angles (deg): 90.00 90.00 90.00
Fractional positions:
Bi (0.000, 0.000, 0.500)
Bi (0.000, 0.500, 0.000)
Bi (0.500, 0.000, 0.000)
H (0.000, 0.000, 0.000)
Se (0.500, 0.500, 0.500)

=====

Record 11
A geometry-optimized BiHSe2 structure. Source: Alexandria via LeMat-Bulk, functional GGA-PBEsol.

Total DFT energy (no corrections) (eV/atom): -3.97
Spin magnetization (μB/atom): 0.00

a b c (Å): 7.072 7.072 7.072
angles (deg): 35.32 35.32 35.32
Fractional positions:
Bi (0.000, 0.000, 0.000)
H (0.500, 0.500, 0.500)
Se (0.412, 0.412, 0.412)
Se (0.588, 0.588, 0.588)

=====

Record 12
A geometry-optimized TiSi2BiH structure. Source: Alexandria via LeMat-Bulk, functional GGA-PBEsol.

Total DFT energy (no corrections) (eV/atom): -5.18
Spin magnetization (μB/atom): 0.00

a b c (Å): 4.692 4.692 3.564
angles (deg): 90.00 90.00 90.00
Fractional positions:
Ti (0.000, 0.000, 0.000)
Si (0.000, 0.500, 0.500)
Si (0.500, 0.000, 0.500)
Bi (0.500, 0.500, 0.000)
H (0.000, 0.000, 0.500)

=====

Record 13
A geometry-optimized SnBi2H2 structure. Source: Alexandria via LeMat-Bulk, functional GGA-PBEsol.

Total DFT energy (no corrections) (eV/atom): -3.77
Spin magnetization (μB/atom): 0.00

a b c (Å): 5.703 5.703 5.703
angles (deg): 131.23 131.23 71.45
Fractional positions:
Sn (0.000, 0.000, 0.000)
Bi (0.250, 0.750, 0.500)
Bi (0.750, 0.250, 0.500)
H (0.458, 0.458, 0.000)
H (0.542, 0.542, 0.000)

=====

Record 14
A geometry-optimized SnBiH3 structure. Source: Alexandria via LeMat-Bulk, functional GGA-PBEsol.

Total DFT energy (no corrections) (eV/atom): -3.02
Spin magnetization (μB/atom): 0.00

a b c (Å): 4.212 4.212 4.212
angles (deg): 90.00 90.00 90.00
Fractional positions:
Sn (0.000, 0.000, 0.000)
Bi (0.500, 0.500, 0.500)
H (0.000, 0.500, 0.500)
H (0.500, 0.000, 0.500)
H (0.500, 0.500, 0.000)

=====

Record 15
A geometry-optimized Sr2BiH2 structure. Source: Alexandria via LeMat-Bulk, functional GGA-PBEsol.

Total DFT energy (no corrections) (eV/atom): -3.62
Spin magnetization (μB/atom): 0.00

a b c (Å): 7.569 7.569 7.569
angles (deg): 149.30 149.30 43.97
Fractional positions:
Sr (0.152, 0.152, 0.000)
Sr (0.848, 0.848, 0.000)
Bi (0.500, 0.500, 0.000)
H (0.250, 0.750, 0.500)
H (0.750, 0.250, 0.500)

=====

Record 16
A geometry-optimized YTaBi2H structure. Source: Alexandria via LeMat-Bulk, functional GGA-PBEsol.

Total DFT energy (no corrections) (eV/atom): -4.50
Spin magnetization (μB/atom): 0.07

a b c (Å): 5.733 5.733 5.123
angles (deg): 90.00 90.00 90.00
Fractional positions:
Y (0.000, 0.000, 0.000)
Ta (0.000, 0.000, 0.500)
Bi (0.000, 0.500, 0.000)
Bi (0.500, 0.000, 0.000)
H (0.500, 0.500, 0.500)

=====

Record 17
A geometry-optimized TcBiH2 structure. Source: Alexandria via LeMat-Bulk, functional GGA-PBEsol.

Total DFT energy (no corrections) (eV/atom): -4.40
Spin magnetization (μB/atom): 0.00

a b c (Å): 4.038 4.038 4.038
angles (deg): 60.00 60.00 60.00
Fractional positions:
Tc (0.000, 0.000, 0.000)
Bi (0.500, 0.500, 0.500)
H (0.250, 0.250, 0.250)
H (0.750, 0.750, 0.750)

=====

Record 18
A geometry-optimized BiTe3H structure. Source: Alexandria via LeMat-Bulk, functional GGA-PBEsol.

Total DFT energy (no corrections) (eV/atom): -3.21
Spin magnetization (μB/atom): 0.00

a b c (Å): 4.828 4.828 4.828
angles (deg): 90.00 90.00 90.00
Fractional positions:
Bi (0.000, 0.000, 0.000)
Te (0.000, 0.500, 0.500)
Te (0.500, 0.000, 0.500)
Te (0.500, 0.500, 0.000)
H (0.500, 0.500, 0.500)

=====

Record 19
A geometry-optimized BiTeH2 structure. Source: Alexandria via LeMat-Bulk, functional GGA-PBEsol.

Total DFT energy (no corrections) (eV/atom): -2.97
Spin magnetization (μB/atom): 0.00

a b c (Å): 4.458 4.458 4.458
angles (deg): 60.00 60.00 60.00
Fractional positions:
Bi (0.000, 0.000, 0.000)
Te (0.500, 0.500, 0.500)
H (0.250, 0.250, 0.250)
H (0.750, 0.750, 0.750)

=====

Record 20
A geometry-optimized Ti2BiTeH structure. Source: Alexandria via LeMat-Bulk, functional GGA-PBEsol.

Total DFT energy (no corrections) (eV/atom): -4.19
Spin magnetization (μB/atom): 0.67

a b c (Å): 5.122 5.122 5.851
angles (deg): 90.00 90.00 90.00
Fractional positions:
Ti (0.000, 0.500, 0.000)
Ti (0.500, 0.000, 0.000)
Bi (0.000, 0.000, 0.500)
Te (0.000, 0.000, 0.000)
H (0.500, 0.500, 0.500)

=====

Record 21
A geometry-optimized Ti3BiH structure. Source: Alexandria via LeMat-Bulk, functional GGA-PBEsol.

Total DFT energy (no corrections) (eV/atom): -6.82
Spin magnetization (μB/atom): 0.00

a b c (Å): 4.166 4.166 4.166
angles (deg): 90.00 90.00 90.00
Fractional positions:
Ti (0.000, 0.000, 0.500)
Ti (0.000, 0.500, 0.000)
Ti (0.500, 0.000, 0.000)
Bi (0.500, 0.500, 0.500)
H (0.000, 0.000, 0.000)

=====

Record 22
A geometry-optimized Ti3BiH structure. Source: Alexandria via LeMat-Bulk, functional GGA-PBEsol.

Total DFT energy (no corrections) (eV/atom): -6.82
Spin magnetization (μB/atom): 0.00

a b c (Å): 5.890 5.890 5.890
angles (deg): 60.03 60.03 60.03
Fractional positions:
Ti (0.250, 0.250, 0.737)
Ti (0.250, 0.737, 0.250)
Ti (0.263, 0.750, 0.750)
Ti (0.737, 0.250, 0.250)
Ti (0.750, 0.263, 0.750)
Ti (0.750, 0.750, 0.263)
Bi (0.242, 0.242, 0.242)
Bi (0.758, 0.758, 0.758)
H (0.000, 0.000, 0.000)
H (0.500, 0.500, 0.500)

=====

Record 23
A geometry-optimized TlBi3H structure. Source: Alexandria via LeMat-Bulk, functional GGA-PBEsol.

Total DFT energy (no corrections) (eV/atom): -3.52
Spin magnetization (μB/atom): 0.00

a b c (Å): 4.980 4.980 4.980
angles (deg): 90.00 90.00 90.00
Fractional positions:
Tl (0.000, 0.000, 0.000)
Bi (0.000, 0.500, 0.500)
Bi (0.500, 0.000, 0.500)
Bi (0.500, 0.500, 0.000)
H (0.500, 0.500, 0.500)

=====

Record 24
A geometry-optimized YTlBiH2 structure. Source: Alexandria via LeMat-Bulk, functional GGA-PBEsol.

Total DFT energy (no corrections) (eV/atom): -3.78
Spin magnetization (μB/atom): 0.00

a b c (Å): 4.164 4.164 6.631
angles (deg): 90.00 90.00 90.00
Fractional positions:
Y (0.000, 0.000, 0.000)
Tl (0.000, 0.000, 0.500)
Bi (0.500, 0.500, 0.000)
H (0.000, 0.500, 0.500)
H (0.500, 0.000, 0.500)

=====

Record 25
A geometry-optimized Y2BiH structure. Source: Alexandria via LeMat-Bulk, functional GGA-PBEsol.

Total DFT energy (no corrections) (eV/atom): -5.96
Spin magnetization (μB/atom): 0.00

a b c (Å): 6.123 6.123 6.123
angles (deg): 108.98 108.98 110.46
Fractional positions:
Y (0.037, 0.125, 0.412)
Y (0.375, 0.963, 0.088)
Y (0.713, 0.625, 0.588)
Y (0.875, 0.287, 0.912)
Bi (0.250, 0.750, 0.500)
Bi (0.500, 0.500, 0.000)
H (0.000, 0.000, 0.000)
H (0.750, 0.250, 0.500)

=====

Record 26
A geometry-optimized Y3BiH structure. Source: Alexandria via LeMat-Bulk, functional GGA-PBEsol.

Total DFT energy (no corrections) (eV/atom): -6.11
Spin magnetization (μB/atom): 0.00

a b c (Å): 4.781 4.781 4.781
angles (deg): 90.00 90.00 90.00
Fractional positions:
Y (0.000, 0.000, 0.500)
Y (0.000, 0.500, 0.000)
Y (0.500, 0.000, 0.000)
Bi (0.500, 0.500, 0.500)
H (0.000, 0.000, 0.000)

=====

Record 27
A geometry-optimized Hf2Bi structure. Source: Alexandria via LeMat-Bulk, functional GGA-PBEsol.

Total DFT energy (no corrections) (eV/atom): -8.57
Spin magnetization (μB/atom): 0.00
Formation enthalpy at 0 K (eV per atom): -0.1411

a b c (Å): 7.745 7.745 4.359
angles (deg): 97.28 97.28 31.38
Fractional positions:
Hf (0.000, 0.000, 0.000)
Hf (0.164, 0.164, 0.562)
Hf (0.500, 0.500, 0.500)
Hf (0.836, 0.836, 0.438)
Bi (0.350, 0.350, 0.935)
Bi (0.650, 0.650, 0.065)

=====

Record 28
A geometry-optimized HfHgBi3 structure. Source: Alexandria via LeMat-Bulk, functional GGA-PBEsol.

Total DFT energy (no corrections) (eV/atom): -3.73
Spin magnetization (μB/atom): 0.00
Formation enthalpy at 0 K (eV per atom): 1.0529

a b c (Å): 5.493 5.493 5.493
angles (deg): 90.00 90.00 90.00
Fractional positions:
Hf (0.000, 0.000, 0.000)
Hg (0.500, 0.500, 0.500)
Bi (0.000, 0.500, 0.500)
Bi (0.500, 0.000, 0.500)
Bi (0.500, 0.500, 0.000)